Record 1
DFT (meta-GGA SCAN) results for TlFePb at its PBEsol-relaxed geometry.

Lattice parameters (Å, degrees): 3.295 4.837 4.837 120.00 90.00 90.00
Sites, in units of the cell vectors:
Fe: 0.168 0.000 0.000
Pb: 0.666 0.333 0.667
Tl: 0.166 0.667 0.333

Results
- Calculated volume: 66.8 Å³ per cell
- Space-group type: P3m1, No. 156
- VASP energy: -54.800 eV/atom
- Energy relative to the elements: 0.6235 eV/atom
- Excess energy over the best structure of this formula in the dataset: 96 meV/atom

Record 2
DFT (meta-GGA SCAN) results for Tl2FePb at its PBEsol-relaxed geometry.

Lattice parameters (Å, degrees): 3.119 4.450 7.444 107.39 102.10 90.00
Sites, in units of the cell vectors:
Fe: 0.500 0.000 0.000
Pb: 0.000 0.500 0.000
Tl: 0.819 0.819 0.638
Tl: 0.181 0.181 0.362

Results
- Calculated volume: 96.2 Å³ per cell
- Space-group type: Immm, No. 71
- VASP energy: -59.303 eV/atom
- Energy relative to the elements: 0.3540 eV/atom
- Excess energy over the best structure of this formula in the dataset: 17 meV/atom

Record 3
DFT (meta-GGA SCAN) results for TlFePb at its PBEsol-relaxed geometry.

Lattice parameters (Å, degrees): 3.366 3.366 6.169 105.83 105.83 90.00
Sites, in units of the cell vectors:
Fe: 0.999 0.999 0.998
Pb: 0.360 0.360 0.720
Tl: 0.641 0.641 0.282

Results
- Calculated volume: 64.5 Å³ per cell
- Space-group type: I4mm, No. 107
- VASP energy: -54.895 eV/atom
- Energy relative to the elements: 0.5276 eV/atom
- Excess energy over the best structure of this formula in the dataset: 0 meV/atom

Question: Number 1 is which compound?
Answer: TlFePb